# SmTcO3 PBE-GGA optimized geometry
data_SmTcO3
_symmetry_space_group_name_H-M 'R -3 c'
_symmetry_Int_Tables_number 167
_symmetry_space_group_name_Hall '-R 3 2"c'
_cell_length_a 5.7584
_cell_length_b 5.7584
_cell_length_c 12.4028
_cell_angle_alpha 90.00
_cell_angle_beta 90.00
_cell_angle_gamma 120.00
loop_
_atom_site_label
_atom_site_type_symbol
_atom_site_fract_x
_atom_site_fract_y
_atom_site_fract_z
_atom_site_occupancy
Sm1 Sm 0.0000 0.0000 0.2500 1
Tc1 Tc 0.0000 0.0000 0.0000 1
O1 O 0.0000 0.3987 0.2500 1
# - Total magnetization: 11.74 Bohr magnetons per cell
# - Final energy: -244.7 eV/cell

***

# Li2ZrS3 PBE-GGA optimized geometry
data_Li2ZrS3
_symmetry_space_group_name_H-M 'C m c m'
_symmetry_Int_Tables_number 63
_symmetry_space_group_name_Hall '-C 2c 2'
_cell_length_a 3.6968
_cell_length_b 12.2710
_cell_length_c 9.9818
_cell_angle_alpha 90.00
_cell_angle_beta 90.00
_cell_angle_gamma 90.00
loop_
_atom_site_label
_atom_site_type_symbol
_atom_site_fract_x
_atom_site_fract_y
_atom_site_fract_z
_atom_site_occupancy
Li1 Li 0.0000 0.0351 0.2500 1
Li2 Li 0.0000 0.2198 0.7500 1
Zr1 Zr 0.0000 0.5000 0.0000 1
S1 S 0.0000 0.1370 0.0577 1
S2 S 0.0000 0.4206 0.2500 1
# - Energy above the lowest structure with this stoichiometry: 115.4 meV per atom
# - Total magnetization: 0.00 Bohr magnetons per cell
# - Final energy: -131.6 eV/cell

***

# TbAg2Pb2 PBE-GGA optimized geometry
data_TbAg2Pb2
_symmetry_space_group_name_H-M 'I 4/m m m'
_symmetry_Int_Tables_number 139
_symmetry_space_group_name_Hall '-I 4 2'
_cell_length_a 4.4366
_cell_length_b 4.4366
_cell_length_c 12.9775
_cell_angle_alpha 90.00
_cell_angle_beta 90.00
_cell_angle_gamma 90.00
loop_
_atom_site_label
_atom_site_type_symbol
_atom_site_fract_x
_atom_site_fract_y
_atom_site_fract_z
_atom_site_occupancy
Tb1 Tb 0.0000 0.0000 0.0000 1
Ag1 Ag 0.0000 0.5000 0.2500 1
Pb1 Pb 0.0000 0.0000 0.3883 1
# - Energy above the lowest structure with this stoichiometry: 0.0 meV per atom
# - Total magnetization: 0.01 Bohr magnetons per cell
# - Final energy: -35.9 eV/cell

***

# Dy2Y2CF5 PBE-GGA optimized geometry
data_Dy2Y2CF5
_symmetry_space_group_name_H-M 'C 1 2/m 1'
_symmetry_Int_Tables_number 12
_cell_length_a 14.7241
_cell_length_b 3.4109
_cell_length_c 6.7437
_cell_angle_alpha 90.00
_cell_angle_beta 117.25
_cell_angle_gamma 90.00
loop_
_symmetry_equiv_pos_as_xyz
'x,y,z'
'-x,-y,-z'
'-x,y,-z'
'x,-y,z'
'x+1/2,y+1/2,z'
'-x+1/2,-y+1/2,-z'
'-x+1/2,y+1/2,-z'
'x+1/2,-y+1/2,z'
loop_
_atom_site_label
_atom_site_type_symbol
_atom_site_fract_x
_atom_site_fract_y
_atom_site_fract_z
_atom_site_occupancy
Dy1 Dy 0.9998 0.0000 0.2405 1
Y1 Y 0.1851 0.5000 0.1855 1
C1 C 0.0000 0.5000 0.0000 1
F1 F 0.0000 0.5000 0.5000 1
F2 F 0.1730 0.0000 0.4547 1
F3 F 0.1734 0.0000 0.8935 1
# - Total magnetization: 0.07 Bohr magnetons per cell
# - Final energy: -134.5 eV/cell

***

Look up the total magnetization of the first one. 11.74 Bohr magnetons per cell

***

The highest total magnetization belongs to which entry? SmTcO3